(1)
This record from Alexandria via LeMat-Bulk describes a relaxed structure of KSi2. The functional is PBE.

Results
E, eV/atom: -3.913
Raw formation energy, eV per atom: 0.0678
E above lowest polymorph, meV/atom: 39

The structure in POSCAR format:
```
KSi2
1.0
3.6872 0.0000 0.0000
0.0000 6.6189 0.0000
0.0000 0.0000 13.5620
Si K
8 4
direct
0.2500 0.6504 0.0202
0.7500 0.5581 0.1257
0.7500 0.3496 0.9798
0.2500 0.4419 0.8743
0.2500 0.1504 0.4798
0.7500 0.0581 0.3743
0.7500 0.8496 0.5202
0.2500 0.9419 0.6257
0.2500 0.0838 0.1523
0.2500 0.5838 0.3477
0.7500 0.9162 0.8477
0.7500 0.4162 0.6523
```

***

(2)
This record from Alexandria via LeMat-Bulk describes a relaxed structure of K2Si. The functional is PBE.

Results
E, eV/atom: -2.119
Raw formation energy, eV per atom: 0.4206
E above lowest polymorph, meV/atom: 378

The structure in POSCAR format:
```
K2Si
1.0
4.5201 -7.8290 0.0000
4.5201 7.8290 0.0000
0.0000 0.0000 5.1993
K Si
6 3
direct
0.4129 0.4129 0.5000
0.5871 0.0000 0.5000
0.0000 0.2550 0.0000
0.7450 0.7450 0.0000
0.0000 0.5871 0.5000
0.2550 0.0000 0.0000
0.0000 0.0000 0.5000
0.3333 0.6667 0.0000
0.6667 0.3333 0.0000
```